This record from Alexandria via LeMat-Bulk describes an optimized crystal structure of BeBF. The functional is PBE.

Unit cell a=2.6068 b=3.0021 c=8.2057 alpha=96.40 beta=93.39 gamma=111.51
Space group P-1 (No. 2)
Inequivalent atoms, fractional coordinates:
Be 0.1432 0.3880 0.2071 [2 per cell]
B 0.1457 0.8051 0.0178 [2 per cell]
F 0.3180 0.5565 0.6821 [2 per cell]

- M_tot (μB/f.u.) = 0.00
- V (Å³/f.u.) = 29.5
- crystal system = triclinic
- calculated total energy (eV/atom) = -5.421
- ΔE_f (raw) (eV/atom) = -1.329



This record from Alexandria via LeMat-Bulk describes an optimized crystal structure of Be2BF. The functional is PBE.

Unit cell a=5.2191 b=5.2191 c=5.2191 alpha=90.00 beta=90.00 gamma=90.00
Space group Fm-3m (No. 225)
Inequivalent atoms, fractional coordinates:
Be 0.2500 0.2500 0.2500 [8 per cell]
B 0.0000 0.0000 0.0000 [4 per cell]
F 0.0000 0.0000 0.5000 [4 per cell]

- M_tot (μB/f.u.) = 1.75
- V (Å³/f.u.) = 35.5
- crystal system = cubic
- calculated total energy (eV/atom) = -3.506
- ΔE_f (raw) (eV/atom) = 0.494



This record from Alexandria via LeMat-Bulk describes an optimized crystal structure of BeBF2. The functional is PBE.

Unit cell a=5.4302 b=5.4302 c=5.4302 alpha=90.00 beta=90.00 gamma=90.00
Space group Fm-3m (No. 225)
Inequivalent atoms, fractional coordinates:
Be 0.0000 0.0000 0.0000 [4 per cell]
B 0.0000 0.0000 0.5000 [4 per cell]
F 0.2500 0.2500 0.2500 [8 per cell]

- M_tot (μB/f.u.) = 0.00
- V (Å³/f.u.) = 40.0
- crystal system = cubic
- calculated total energy (eV/atom) = -3.282
- ΔE_f (raw) (eV/atom) = 0.255



This record from Alexandria via LeMat-Bulk describes an optimized crystal structure of Be2BF. The functional is PBE.

Unit cell a=4.4872 b=4.4872 c=7.6890 alpha=90.00 beta=90.00 gamma=90.00
Space group I-42d (No. 122)
Inequivalent atoms, fractional coordinates:
Be 0.2343 0.2500 0.1250 [8 per cell]
B 0.0000 0.0000 0.5000 [4 per cell]
F 0.0000 0.0000 0.0000 [4 per cell]

- M_tot (μB/f.u.) = 0.00
- V (Å³/f.u.) = 38.7
- crystal system = tetragonal
- calculated total energy (eV/atom) = -4.195
- ΔE_f (raw) (eV/atom) = -0.195



This record from Alexandria via LeMat-Bulk describes an optimized crystal structure of BeBF3. The functional is PBE.

Unit cell a=3.5693 b=3.5693 c=3.5693 alpha=90.00 beta=90.00 gamma=90.00
Space group Pm-3m (No. 221)
Inequivalent atoms, fractional coordinates:
Be 0.0000 0.0000 0.0000 [1 per cell]
B 0.5000 0.5000 0.5000 [1 per cell]
F 0.0000 0.0000 0.5000 [3 per cell]

- M_tot (μB/f.u.) = 0.00
- V (Å³/f.u.) = 45.5
- crystal system = cubic
- calculated total energy (eV/atom) = -4.535
- ΔE_f (raw) (eV/atom) = -1.331



This record from Alexandria via LeMat-Bulk describes an optimized crystal structure of Be3BF. The functional is PBE.

Unit cell a=3.6421 b=3.6421 c=3.6421 alpha=90.00 beta=90.00 gamma=90.00
Space group Pm-3m (No. 221)
Inequivalent atoms, fractional coordinates:
Be 0.0000 0.0000 0.5000 [3 per cell]
B 0.0000 0.0000 0.0000 [1 per cell]
F 0.5000 0.5000 0.5000 [1 per cell]

- M_tot (μB/f.u.) = 0.00
- V (Å³/f.u.) = 48.3
- crystal system = cubic
- calculated total energy (eV/atom) = -4.300
- ΔE_f (raw) (eV/atom) = -0.355



This record from Alexandria via LeMat-Bulk describes an optimized crystal structure of BeB2F. The functional is PBE.

Unit cell a=4.4783 b=4.4783 c=8.6249 alpha=90.00 beta=90.00 gamma=90.00
Space group I-42d (No. 122)
Inequivalent atoms, fractional coordinates:
Be 0.0000 0.0000 0.0000 [4 per cell]
B 0.2276 0.2500 0.1250 [8 per cell]
F 0.0000 0.0000 0.5000 [4 per cell]

- M_tot (μB/f.u.) = 0.80
- V (Å³/f.u.) = 43.2
- crystal system = tetragonal
- calculated total energy (eV/atom) = -3.765
- ΔE_f (raw) (eV/atom) = 0.973



This record from Alexandria via LeMat-Bulk describes an optimized crystal structure of BeBF. The functional is PBE.

Unit cell a=3.0352 b=3.4612 c=5.9122 alpha=104.60 beta=90.45 gamma=90.04
Space group P1 (No. 1)
Inequivalent atoms, fractional coordinates:
Be 0.0000 0.0000 0.0000 [1 per cell]
Be 0.0009 0.5260 0.5033 [1 per cell]
B 0.2346 0.5713 0.1581 [1 per cell]
B 0.7496 0.5700 0.1560 [1 per cell]
F 0.0049 0.8895 0.7336 [1 per cell]
F 0.5018 0.3491 0.5364 [1 per cell]

- M_tot (μB/f.u.) = 0.00
- V (Å³/f.u.) = 30.1
- crystal system = triclinic
- calculated total energy (eV/atom) = -5.360
- ΔE_f (raw) (eV/atom) = -1.268



This record from Alexandria via LeMat-Bulk describes an optimized crystal structure of BeBIF2. The functional is PBE.

Unit cell a=3.3697 b=3.3697 c=6.7078 alpha=90.00 beta=90.00 gamma=90.00
Space group P4/mmm (No. 123)
Inequivalent atoms, fractional coordinates:
Be 0.0000 0.0000 0.0000 [1 per cell]
B 0.0000 0.0000 0.5000 [1 per cell]
I 0.5000 0.5000 0.5000 [1 per cell]
F 0.0000 0.5000 0.0000 [2 per cell]

- M_tot (μB/f.u.) = 0.71
- V (Å³/f.u.) = 76.2
- crystal system = tetragonal
- calculated total energy (eV/atom) = -4.043
- ΔE_f (raw) (eV/atom) = -0.904



This record from Alexandria via LeMat-Bulk describes an optimized crystal structure of KBeBF2. The functional is PBE.

Unit cell a=3.5426 b=3.5426 c=8.1827 alpha=90.00 beta=90.00 gamma=90.00
Space group P4/mmm (No. 123)
Inequivalent atoms, fractional coordinates:
K 0.0000 0.0000 0.0000 [1 per cell]
Be 0.0000 0.0000 0.5000 [1 per cell]
B 0.5000 0.5000 0.0000 [1 per cell]
F 0.0000 0.5000 0.5000 [2 per cell]

- M_tot (μB/f.u.) = 1.20
- V (Å³/f.u.) = 102.7
- crystal system = tetragonal
- calculated total energy (eV/atom) = -3.462
- ΔE_f (raw) (eV/atom) = -0.413



This record from Alexandria via LeMat-Bulk describes an optimized crystal structure of KBe2BO3F2. The functional is PBE.

Unit cell a=4.4509 b=4.4509 c=39.1593 alpha=90.00 beta=90.00 gamma=120.00
Space group R-3c (No. 167, hexagonal axes)
Inequivalent atoms, fractional coordinates:
K 0.0000 0.0000 0.0000 [6 per cell]
Be 0.0000 0.0000 0.0982 [12 per cell]
B 0.0000 0.0000 0.2500 [6 per cell]
O 0.0000 0.3097 0.2500 [18 per cell]
F 0.0000 0.0000 0.1375 [12 per cell]

- M_tot (μB/f.u.) = 0.00
- V (Å³/f.u.) = 112.0
- crystal system = trigonal
- calculated total energy (eV/atom) = -6.613
- ΔE_f (raw) (eV/atom) = -2.852



This record from Alexandria via LeMat-Bulk describes an optimized crystal structure of KBe2BO3F2. The functional is PBE.

Unit cell a=4.4509 b=4.4509 c=19.4743 alpha=90.00 beta=90.00 gamma=120.00
Space group R32 (No. 155, hexagonal axes)
Inequivalent atoms, fractional coordinates:
K 0.0000 0.0000 0.0000 [3 per cell]
Be 0.0000 0.0000 0.1966 [6 per cell]
B 0.0000 0.0000 0.5000 [3 per cell]
O 0.0000 0.3098 0.5000 [9 per cell]
F 0.0000 0.0000 0.2758 [6 per cell]

- M_tot (μB/f.u.) = 0.00
- V (Å³/f.u.) = 111.4
- crystal system = trigonal
- calculated total energy (eV/atom) = -6.612
- ΔE_f (raw) (eV/atom) = -2.852